# Zr2AgAu | Alexandria | SCAN | PBEsol geometry
# Total DFT energy (no corrections) in eV per cell: -163.38
# ρ in Mg/m³: 10.75
# Formation energy in eV per atom: -0.3643
data_Zr2AgAu
_cell_length_a 2.996
_cell_length_b 2.996
_cell_length_c 8.384
_cell_angle_alpha 90.00
_cell_angle_beta 90.00
_cell_angle_gamma 90.00
_symmetry_space_group_name_H-M 'P 1'
_symmetry_Int_Tables_number 1
loop_
_symmetry_equiv_pos_as_xyz
'x,y,z'
loop_
_atom_site_label
_atom_site_type_symbol
_atom_site_fract_x
_atom_site_fract_y
_atom_site_fract_z
Au1 Au 0.500 0.500 0.500
Zr1 Zr 0.000 0.000 0.746
Zr2 Zr 0.000 0.000 0.254
Ag1 Ag 0.500 0.500 0.000

# Ca2YBr | Alexandria | SCAN | PBEsol geometry
# Total DFT energy (no corrections) in eV per cell: -67.68
# ρ in Mg/m³: 3.10
# Formation energy from raw total energies in eV/f.u.: -1.1
# Relative energy among the computed polymorphs in eV per atom: 0.418
data_Ca2YBr
_cell_length_a 3.666
_cell_length_b 6.029
_cell_length_c 6.029
_cell_angle_alpha 90.00
_cell_angle_beta 90.00
_cell_angle_gamma 90.00
_symmetry_space_group_name_H-M 'P 1'
_symmetry_Int_Tables_number 1
loop_
_symmetry_equiv_pos_as_xyz
'x,y,z'
loop_
_atom_site_label
_atom_site_type_symbol
_atom_site_fract_x
_atom_site_fract_y
_atom_site_fract_z
Y1 Y 0.500 0.500 0.500
Ca1 Ca 0.000 0.000 0.500
Ca2 Ca 0.000 0.500 0.000
Br1 Br 0.500 0.000 0.000

# TiTc3O | Alexandria | SCAN | PBEsol geometry
# Total DFT energy (no corrections) in eV per cell: -128.95
# ρ in Mg/m³: 9.20
# Formation energy from raw total energies in eV/f.u.: -1.5
# Relative energy among the computed polymorphs in eV per atom: 0.000
data_TiTc3O
_cell_length_a 4.012
_cell_length_b 4.012
_cell_length_c 4.012
_cell_angle_alpha 90.00
_cell_angle_beta 90.00
_cell_angle_gamma 90.00
_symmetry_space_group_name_H-M 'P 1'
_symmetry_Int_Tables_number 1
loop_
_symmetry_equiv_pos_as_xyz
'x,y,z'
loop_
_atom_site_label
_atom_site_type_symbol
_atom_site_fract_x
_atom_site_fract_y
_atom_site_fract_z
Tc1 Tc 0.000 0.500 0.000
Tc2 Tc 0.000 0.000 0.500
Tc3 Tc 0.500 0.000 0.000
O1 O 0.000 0.000 0.000
Ti1 Ti 0.500 0.500 0.500

# K2LaCl5 | Alexandria | SCAN | PBEsol geometry
# Total DFT energy (no corrections) in eV per cell: -478.25
# ρ in Mg/m³: 2.97
# Formation energy from raw total energies in eV/f.u.: -19.9
data_K2LaCl5
_cell_length_a 7.973
_cell_length_b 8.769
_cell_length_c 12.601
_cell_angle_alpha 90.00
_cell_angle_beta 90.00
_cell_angle_gamma 90.00
_symmetry_space_group_name_H-M 'P 1'
_symmetry_Int_Tables_number 1
loop_
_symmetry_equiv_pos_as_xyz
'x,y,z'
loop_
_atom_site_label
_atom_site_type_symbol
_atom_site_fract_x
_atom_site_fract_y
_atom_site_fract_z
Cl1 Cl 0.572 0.750 0.993
Cl2 Cl 0.072 0.250 0.507
Cl3 Cl 0.428 0.250 0.007
Cl4 Cl 0.928 0.750 0.493
Cl5 Cl 0.175 0.250 0.792
Cl6 Cl 0.675 0.750 0.708
Cl7 Cl 0.825 0.750 0.208
Cl8 Cl 0.325 0.250 0.292
Cl9 Cl 0.638 0.250 0.681
Cl10 Cl 0.138 0.750 0.819
Cl11 Cl 0.362 0.750 0.319
Cl12 Cl 0.862 0.250 0.181
Cl13 Cl 0.337 0.544 0.583
Cl14 Cl 0.837 0.456 0.917
Cl15 Cl 0.663 0.044 0.417
Cl16 Cl 0.163 0.956 0.083
Cl17 Cl 0.663 0.456 0.417
Cl18 Cl 0.163 0.544 0.083
Cl19 Cl 0.337 0.956 0.583
Cl20 Cl 0.837 0.044 0.917
K1 K 0.956 0.496 0.673
K2 K 0.456 0.504 0.827
K3 K 0.044 0.996 0.327
K4 K 0.544 0.004 0.173
K5 K 0.044 0.504 0.327
K6 K 0.544 0.496 0.173
K7 K 0.956 0.004 0.673
K8 K 0.456 0.996 0.827
La1 La 0.424 0.250 0.507
La2 La 0.924 0.750 0.993
La3 La 0.576 0.750 0.493
La4 La 0.076 0.250 0.007

# PmLuAl2 | Alexandria | SCAN | PBEsol geometry
# Total DFT energy (no corrections) in eV per cell: -116.37
# ρ in Mg/m³: 6.86
# Formation energy in eV per atom: -0.3845
data_PmLuAl2
_cell_length_a 5.040
_cell_length_b 5.040
_cell_length_c 5.040
_cell_angle_alpha 60.00
_cell_angle_beta 60.00
_cell_angle_gamma 60.00
_symmetry_space_group_name_H-M 'P 1'
_symmetry_Int_Tables_number 1
loop_
_symmetry_equiv_pos_as_xyz
'x,y,z'
loop_
_atom_site_label
_atom_site_type_symbol
_atom_site_fract_x
_atom_site_fract_y
_atom_site_fract_z
Lu1 Lu 0.500 0.500 0.500
Al1 Al 0.750 0.750 0.750
Al2 Al 0.250 0.250 0.250
Pm1 Pm 0.000 0.000 0.000

# CaMg6Zn6 | Alexandria | SCAN | PBEsol geometry
# Total DFT energy (no corrections) in eV per cell: -123.00
# ρ in Mg/m³: 4.01
# Formation energy in eV per atom: -0.1845
data_CaMg6Zn6
_cell_length_a 5.387
_cell_length_b 5.387
_cell_length_c 9.535
_cell_angle_alpha 90.00
_cell_angle_beta 90.00
_cell_angle_gamma 120.00
_symmetry_space_group_name_H-M 'P 1'
_symmetry_Int_Tables_number 1
loop_
_symmetry_equiv_pos_as_xyz
'x,y,z'
loop_
_atom_site_label
_atom_site_type_symbol
_atom_site_fract_x
_atom_site_fract_y
_atom_site_fract_z
Ca1 Ca 0.000 0.000 0.000
Mg1 Mg 0.000 0.000 0.654
Mg2 Mg 0.000 0.000 0.346
Mg3 Mg 0.333 0.667 0.000
Mg4 Mg 0.667 0.333 0.000
Mg5 Mg 0.333 0.667 0.500
Mg6 Mg 0.667 0.333 0.500
Zn1 Zn 0.000 0.500 0.759
Zn2 Zn 0.500 0.000 0.759
Zn3 Zn 0.500 0.500 0.759
Zn4 Zn 0.500 0.000 0.241
Zn5 Zn 0.000 0.500 0.241
Zn6 Zn 0.500 0.500 0.241

# TeAsI3F6 | Alexandria | SCAN | PBEsol geometry
# Total DFT energy (no corrections) in eV per cell: -820.99
# ρ in Mg/m³: 4.34
# Formation energy from raw total energies in eV/f.u.: -16.3
data_TeAsI3F6
_cell_length_a 8.166
_cell_length_b 10.999
_cell_length_c 12.161
_cell_angle_alpha 90.00
_cell_angle_beta 102.11
_cell_angle_gamma 90.00
_symmetry_space_group_name_H-M 'P 1'
_symmetry_Int_Tables_number 1
loop_
_symmetry_equiv_pos_as_xyz
'x,y,z'
loop_
_atom_site_label
_atom_site_type_symbol
_atom_site_fract_x
_atom_site_fract_y
_atom_site_fract_z
Te1 Te 0.799 0.341 0.304
Te2 Te 0.799 0.159 0.804
Te3 Te 0.201 0.841 0.196
Te4 Te 0.201 0.659 0.696
As1 As 0.853 0.719 0.406
As2 As 0.147 0.219 0.094
As3 As 0.853 0.781 0.906
As4 As 0.147 0.281 0.594
I1 I 0.547 0.118 0.912
I2 I 0.742 0.103 0.265
I3 I 0.742 0.397 0.765
I4 I 0.336 0.944 0.398
I5 I 0.547 0.382 0.412
I6 I 0.664 0.444 0.102
I7 I 0.453 0.882 0.088
I8 I 0.336 0.556 0.898
I9 I 0.258 0.897 0.735
I10 I 0.258 0.603 0.235
I11 I 0.453 0.618 0.588
I12 I 0.664 0.056 0.602
F1 F 0.086 0.217 0.714
F2 F 0.807 0.864 0.449
F3 F 0.907 0.572 0.363
F4 F 0.914 0.717 0.786
F5 F 0.648 0.700 0.330
F6 F 0.914 0.783 0.286
F7 F 0.935 0.265 0.519
F8 F 0.193 0.136 0.551
F9 F 0.093 0.072 0.137
F10 F 0.196 0.346 0.473
F11 F 0.804 0.654 0.527
F12 F 0.352 0.200 0.170
F13 F 0.804 0.846 0.027
F14 F 0.196 0.154 0.973
F15 F 0.935 0.235 0.019
F16 F 0.065 0.765 0.981
F17 F 0.093 0.428 0.637
F18 F 0.907 0.928 0.863
F19 F 0.807 0.636 0.949
F20 F 0.065 0.735 0.481
F21 F 0.193 0.364 0.051
F22 F 0.648 0.800 0.830
F23 F 0.352 0.300 0.670
F24 F 0.086 0.283 0.214

# HfZrSiN2 | Alexandria | SCAN | PBEsol geometry
# Total DFT energy (no corrections) in eV per cell: -118.78
# ρ in Mg/m³: 5.61
# Formation energy from raw total energies in eV/f.u.: 3.2
data_HfZrSiN2
_cell_length_a 4.022
_cell_length_b 4.022
_cell_length_c 5.966
_cell_angle_alpha 90.00
_cell_angle_beta 90.00
_cell_angle_gamma 90.00
_symmetry_space_group_name_H-M 'P 1'
_symmetry_Int_Tables_number 1
loop_
_symmetry_equiv_pos_as_xyz
'x,y,z'
loop_
_atom_site_label
_atom_site_type_symbol
_atom_site_fract_x
_atom_site_fract_y
_atom_site_fract_z
Si1 Si 0.500 0.500 0.500
Hf1 Hf 0.000 0.000 0.000
Zr1 Zr 0.000 0.000 0.500
N1 N 0.000 0.500 0.000
N2 N 0.500 0.000 0.000

# CrFe2Tc | Alexandria | SCAN | PBEsol geometry
# Total DFT energy (no corrections) in eV per cell: -89.55
# ρ in Mg/m³: 9.22
# Formation energy in eV per atom: 0.0389
data_CrFe2Tc
_cell_length_a 2.946
_cell_length_b 3.927
_cell_length_c 4.074
_cell_angle_alpha 90.00
_cell_angle_beta 90.00
_cell_angle_gamma 90.00
_symmetry_space_group_name_H-M 'P 1'
_symmetry_Int_Tables_number 1
loop_
_symmetry_equiv_pos_as_xyz
'x,y,z'
loop_
_atom_site_label
_atom_site_type_symbol
_atom_site_fract_x
_atom_site_fract_y
_atom_site_fract_z
Cr1 Cr 0.000 0.500 0.500
Tc1 Tc 0.500 0.000 0.500
Fe1 Fe 0.000 0.000 0.000
Fe2 Fe 0.500 0.500 0.000

# BaSc2Sb2 | Alexandria | SCAN | PBEsol geometry
# Total DFT energy (no corrections) in eV per cell: -147.38
# ρ in Mg/m³: 5.25
# Formation energy from raw total energies in eV/f.u.: -4.8
data_BaSc2Sb2
_cell_length_a 4.611
_cell_length_b 4.611
_cell_length_c 7.730
_cell_angle_alpha 107.35
_cell_angle_beta 107.35
_cell_angle_gamma 90.00
_symmetry_space_group_name_H-M 'P 1'
_symmetry_Int_Tables_number 1
loop_
_symmetry_equiv_pos_as_xyz
'x,y,z'
loop_
_atom_site_label
_atom_site_type_symbol
_atom_site_fract_x
_atom_site_fract_y
_atom_site_fract_z
Sc1 Sc 0.250 0.750 0.500
Sc2 Sc 0.750 0.250 0.500
Sb1 Sb 0.375 0.375 0.750
Sb2 Sb 0.625 0.625 0.250
Ba1 Ba 0.000 0.000 0.000

Question: Among the records above, which one has the lowest ρ?
Answer: K2LaCl5

Question: Among the records above, which one has the highest total DFT energy (no corrections)?
Answer: Ca2YBr

Question: Which formula does entry 5 have?
Answer: PmLuAl2